Entry i
Here is a relaxed structure of CeTmAlTl from the Alexandria database. Energies are from PBE-GGA.

abc: 3.398 3.398 8.746
angles: 90.00 90.00 90.00
Site moments in Bohr magnetons follow the coordinates.
Element x y z (fractional)
Ce (0.500, 0.500, 0.803)  0.69
Tl (0.000, 0.000, 0.079)  0.00
Al (0.000, 0.000, 0.563)  -0.01
Tm (0.500, 0.500, 0.340)  0.06

SG ... P4mm
Total moment ... 0.9 Bohr magnetons per cell

=====

Entry ii
Here is a relaxed structure of CeTmAlTl from the Alexandria database. Energies are from PBE-GGA.

abc: 5.282 5.282 5.282
angles: 60.00 60.00 60.00
Site moments in Bohr magnetons follow the coordinates.
Element x y z (fractional)
Tl (0.000, 0.000, 0.000)  0.02
Ce (0.250, 0.250, 0.250)  0.78
Tm (0.750, 0.750, 0.750)  0.04
Al (0.500, 0.500, 0.500)  0.01

SG ... F-43m
Total moment ... 1.0 Bohr magnetons per cell

=====

Which of them is the most stable? Correct choice: entry i.

=====

Entry i
Here is a relaxed structure of CeTmAl from the Alexandria database. Energies are from PBE-GGA.

abc: 3.034 5.184 5.184
angles: 120.00 90.00 90.00
Site moments in Bohr magnetons follow the coordinates.
Element x y z (fractional)
Al (0.667, 0.667, 0.333)  -0.01
Tm (0.167, 0.333, 0.667)  0.06
Ce (0.167, 0.000, 0.000)  0.64

SG ... P-6m2
Total moment ... 0.8 Bohr magnetons per cell

=====

Entry ii
Here is a relaxed structure of CeTmAl from the Alexandria database. Energies are from PBE-GGA.

abc: 3.447 4.889 10.139
angles: 118.82 89.42 89.99
Element x y z (fractional)
Ce (0.700, 0.710, 0.460)
Ce (0.300, 0.290, 0.540)
Tm (0.719, 0.634, 0.884)
Tm (0.281, 0.366, 0.116)
Al (0.806, 0.980, 0.230)
Al (0.194, 0.020, 0.770)

SG ... P2_1/m
Total moment ... 0.0 Bohr magnetons per cell

=====

Which of them is the most stable? Correct choice: entry ii.

=====

Entry i
Here is a relaxed structure of CeTmAl from the Alexandria database. Energies are from PBE-GGA.

abc: 3.068 3.068 9.056
angles: 99.75 99.75 90.00
Site moments in Bohr magnetons follow the coordinates.
Element x y z (fractional)
Al (0.951, 0.951, 0.902)  0.00
Tm (0.123, 0.123, 0.246)  0.08
Ce (0.776, 0.776, 0.552)  0.45

SG ... I4mm
Total moment ... 0.6 Bohr magnetons per cell

=====

Entry ii
Here is a relaxed structure of CeTmAl from the Alexandria database. Energies are from PBE-GGA.

abc: 5.120 6.176 6.520
angles: 58.07 90.00 114.49
Site moments in Bohr magnetons follow the coordinates.
Element x y z (fractional)
Tm (0.180, 0.359, 0.319)  0.09
Tm (0.820, 0.641, 0.681)  0.09
Ce (0.499, 0.999, 0.231)  0.62
Ce (0.501, 0.001, 0.769)  0.62
Al (0.849, 0.697, 0.152)  -0.01
Al (0.151, 0.303, 0.848)  -0.01

SG ... C2/m
Total moment ... 1.7 Bohr magnetons per cell

=====

Which of them is the most stable? Correct choice: entry ii.

=====

Entry i
Here is a relaxed structure of CeAlV from the Alexandria database. Energies are from PBE-GGA.

abc: 4.944 4.944 5.063
angles: 90.00 90.00 90.00
Element x y z (fractional)
V (0.000, 0.500, 0.863)
V (0.500, 0.000, 0.137)
Ce (0.000, 0.500, 0.409)
Ce (0.500, 0.000, 0.591)
Al (0.500, 0.500, 0.000)
Al (0.000, 0.000, 0.000)

SG ... P4/nmm
Total moment ... 0.0 Bohr magnetons per cell

=====

Entry ii
Here is a relaxed structure of CeAlV from the Alexandria database. Energies are from PBE-GGA.

abc: 2.868 2.868 7.039
angles: 101.76 101.76 90.00
Element x y z (fractional)
Al (0.301, 0.301, 0.603)
V (0.935, 0.935, 0.871)
Ce (0.613, 0.613, 0.227)

SG ... I4mm
Total moment ... 0.0 Bohr magnetons per cell

=====

Which of them is the most stable? Correct choice: entry ii.

=====

Entry i
Here is a relaxed structure of Ce2AlV from the Alexandria database. Energies are from PBE-GGA.

abc: 4.505 4.377 4.377
angles: 90.00 90.00 90.00
Site moments in Bohr magnetons follow the coordinates.
Element x y z (fractional)
V (0.500, 0.000, 0.000)  1.89
Al (0.500, 0.500, 0.500)  -0.02
Ce (0.000, 0.000, 0.500)  0.19
Ce (0.000, 0.500, 0.000)  0.19

SG ... P4/mmm
Total moment ... 2.6 Bohr magnetons per cell

=====

Entry ii
Here is a relaxed structure of Ce2AlV from the Alexandria database. Energies are from PBE-GGA.

abc: 2.946 2.946 10.980
angles: 82.29 82.29 60.00
Element x y z (fractional)
Ce (0.252, 0.252, 0.244)
Ce (0.748, 0.748, 0.756)
V (0.000, 0.000, 0.000)
Al (0.500, 0.500, 0.500)

SG ... R-3m
Total moment ... 0.0 Bohr magnetons per cell

=====

Which of them is the most stable? Correct choice: entry i.

=====

Entry i
Here is a relaxed structure of CeY2Al from the Alexandria database. Energies are from PBE-GGA.

abc: 5.317 5.317 5.317
angles: 60.00 60.00 60.00
Element x y z (fractional)
Al (0.500, 0.500, 0.500)
Y (0.750, 0.750, 0.750)
Y (0.250, 0.250, 0.250)
Ce (0.000, 0.000, 0.000)

SG ... Fm-3m
Total moment ... 0.0 Bohr magnetons per cell

=====

Entry ii
Here is a relaxed structure of CeY2Al from the Alexandria database. Energies are from PBE-GGA.

abc: 4.622 4.820 4.820
angles: 90.00 90.00 90.00
Site moments in Bohr magnetons follow the coordinates.
Element x y z (fractional)
Ce (0.500, 0.000, 0.000)  0.31
Y (0.000, 0.500, 0.000)  0.03
Y (0.000, 0.000, 0.500)  0.03
Al (0.500, 0.500, 0.500)  -0.01

SG ... P4/mmm
Total moment ... 0.4 Bohr magnetons per cell

=====

Which of them is the most stable? Correct choice: entry ii.

=====

Entry i
Here is a relaxed structure of CeY2Al from the Alexandria database. Energies are from PBE-GGA.

abc: 3.491 3.491 9.033
angles: 90.00 90.00 90.00
Site moments in Bohr magnetons follow the coordinates.
Element x y z (fractional)
Ce (0.500, 0.500, 0.500)  0.71
Al (0.500, 0.500, 0.000)  0.00
Y (0.000, 0.000, 0.215)  0.02
Y (0.000, 0.000, 0.785)  0.02

SG ... P4/mmm
Total moment ... 0.9 Bohr magnetons per cell

=====

Entry ii
Here is a relaxed structure of CeY2Al from the Alexandria database. Energies are from PBE-GGA.

abc: 3.546 3.546 10.742
angles: 80.50 80.50 60.00
Site moments in Bohr magnetons follow the coordinates.
Element x y z (fractional)
Y (0.261, 0.261, 0.218)  0.03
Y (0.072, 0.072, 0.783)  0.12
Ce (0.500, 0.500, 0.499)  0.94
Al (0.666, 0.666, 0.001)  0.00

SG ... R3m
Total moment ... 1.6 Bohr magnetons per cell

=====

Which of them is the most stable? Correct choice: entry i.

=====

Entry i
Here is a relaxed structure of Ce2Al3Zn5 from the Alexandria database. Energies are from PBE-GGA.

abc: 4.279 4.279 10.559
angles: 90.00 90.00 90.00
Site moments in Bohr magnetons follow the coordinates.
Element x y z (fractional)
Ce (0.500, 0.000, 0.245)  0.65
Ce (0.000, 0.500, 0.755)  0.65
Al (0.000, 0.000, 0.500)  0.00
Al (0.500, 0.000, 0.643)  0.00
Al (0.000, 0.500, 0.357)  0.00
Zn (0.000, 0.500, 0.126)  -0.01
Zn (0.000, 0.000, 0.000)  -0.01
Zn (0.500, 0.000, 0.874)  -0.01
Zn (0.500, 0.500, 0.000)  -0.01
Zn (0.500, 0.500, 0.500)  0.00

SG ... P-4m2
Total moment ... 1.4 Bohr magnetons per cell

=====

Entry ii
Here is a relaxed structure of Ce2Al3Zn5 from the Alexandria database. Energies are from PBE-GGA.

abc: 6.036 8.564 8.564
angles: 76.09 69.36 69.36
Site moments in Bohr magnetons follow the coordinates.
Element x y z (fractional)
Ce (0.376, 0.869, 0.379)  0.56
Ce (0.124, 0.621, 0.131)  0.56
Ce (0.876, 0.379, 0.869)  0.56
Ce (0.624, 0.131, 0.621)  0.56
Al (0.371, 0.499, 0.759)  0.00
Al (0.629, 0.501, 0.241)  0.00
Al (0.250, 0.000, 0.000)  0.00
Al (0.750, 0.000, 0.000)  0.00
Al (0.129, 0.241, 0.501)  0.00
Al (0.871, 0.759, 0.499)  0.00
Zn (0.750, 0.500, 0.500)  -0.01
Zn (0.124, 0.014, 0.739)  0.00
Zn (0.876, 0.986, 0.261)  0.00
Zn (0.376, 0.261, 0.986)  0.00
Zn (0.009, 0.241, 0.241)  -0.01
Zn (0.509, 0.241, 0.241)  -0.01
Zn (0.624, 0.739, 0.014)  0.00
Zn (0.491, 0.759, 0.759)  -0.01
Zn (0.250, 0.500, 0.500)  -0.01
Zn (0.991, 0.759, 0.759)  -0.01

SG ... Ibam
Total moment ... 2.3 Bohr magnetons per cell

=====

Which of them is the most stable? Correct choice: entry ii.

=====

Entry i
Here is a relaxed structure of CeZr2Al from the Alexandria database. Energies are from PBE-GGA.

abc: 3.066 3.066 9.476
angles: 90.00 90.00 90.00
Element x y z (fractional)
Al (0.500, 0.500, 0.000)
Zr (0.000, 0.000, 0.214)
Zr (0.000, 0.000, 0.786)
Ce (0.500, 0.500, 0.500)

SG ... P4/mmm
Total moment ... 0.0 Bohr magnetons per cell

=====

Entry ii
Here is a relaxed structure of CeZr2Al from the Alexandria database. Energies are from PBE-GGA.

abc: 4.230 4.591 4.591
angles: 90.00 90.00 90.00
Element x y z (fractional)
Zr (0.000, 0.000, 0.500)
Zr (0.000, 0.500, 0.000)
Al (0.500, 0.000, 0.000)
Ce (0.500, 0.500, 0.500)

SG ... P4/mmm
Total moment ... 0.0 Bohr magnetons per cell

=====

Entry iii
Here is a relaxed structure of CeZr2Al from the Alexandria database. Energies are from PBE-GGA.

abc: 3.970 3.970 8.811
angles: 76.98 76.98 60.00
Element x y z (fractional)
Zr (0.112, 0.112, 0.664)
Zr (0.888, 0.888, 0.336)
Ce (0.500, 0.500, 0.500)
Al (0.000, 0.000, 0.000)

SG ... R-3m
Total moment ... 0.0 Bohr magnetons per cell

=====

Which of them is the most stable? Correct choice: entry ii.

=====

Entry i
Here is a relaxed structure of CeZr2Al6 from the Alexandria database. Energies are from PBE-GGA.

abc: 4.258 7.685 7.685
angles: 54.16 73.92 73.92
Site moments in Bohr magnetons follow the coordinates.
Element x y z (fractional)
Al (0.500, 0.681, 0.319)  0.00
Al (0.310, 0.984, 0.396)  0.00
Al (0.690, 0.604, 0.016)  0.00
Al (0.690, 0.016, 0.604)  0.00
Al (0.500, 0.319, 0.681)  0.00
Al (0.310, 0.396, 0.984)  0.00
Zr (0.882, 0.618, 0.618)  0.02
Zr (0.118, 0.382, 0.382)  0.02
Ce (0.000, 0.000, 0.000)  0.76

SG ... Immm
Total moment ... 0.9 Bohr magnetons per cell

=====

Entry ii
Here is a relaxed structure of CeZr2Al6 from the Alexandria database. Energies are from PBE-GGA.

abc: 3.287 7.809 7.809
angles: 120.00 90.00 90.00
Site moments in Bohr magnetons follow the coordinates.
Element x y z (fractional)
Al (0.500, 0.000, 0.663)  0.00
Al (0.500, 0.663, 0.663)  0.00
Al (0.500, 0.337, 0.000)  0.00
Al (0.500, 0.663, 0.000)  0.00
Al (0.500, 0.337, 0.337)  0.00
Al (0.500, 0.000, 0.337)  0.00
Zr (0.000, 0.333, 0.667)  0.00
Zr (0.000, 0.667, 0.333)  0.00
Ce (0.000, 0.000, 0.000)  0.27

SG ... P6/mmm
Total moment ... 0.3 Bohr magnetons per cell

=====

Which of them is the most stable? Correct choice: entry ii.

=====

Entry i
Here is a relaxed structure of Ce2ZrAl from the Alexandria database. Energies are from PBE-GGA.

abc: 3.098 3.098 9.931
angles: 90.00 90.00 90.00
Element x y z (fractional)
Zr (0.500, 0.500, 0.500)
Al (0.500, 0.500, 0.000)
Ce (0.000, 0.000, 0.234)
Ce (0.000, 0.000, 0.766)

SG ... P4/mmm
Total moment ... 0.0 Bohr magnetons per cell

=====

Entry ii
Here is a relaxed structure of Ce2ZrAl from the Alexandria database. Energies are from PBE-GGA.

abc: 5.208 5.208 5.208
angles: 60.00 60.00 60.00
Element x y z (fractional)
Ce (0.250, 0.250, 0.250)
Ce (0.750, 0.750, 0.750)
Zr (0.500, 0.500, 0.500)
Al (0.000, 0.000, 0.000)

SG ... Fm-3m
Total moment ... 0.0 Bohr magnetons per cell

=====

Which of them is the most stable? Correct choice: entry i.

=====

Entry i
Here is a relaxed structure of Ce2ZrAl from the Alexandria database. Energies are from PBE-GGA.

abc: 3.068 3.068 12.154
angles: 82.75 82.75 60.00
Element x y z (fractional)
Zr (0.500, 0.500, 0.500)
Ce (0.086, 0.086, 0.742)
Ce (0.914, 0.914, 0.258)
Al (0.000, 0.000, 0.000)

SG ... R-3m
Total moment ... 0.0 Bohr magnetons per cell

=====

Entry ii
Here is a relaxed structure of Ce2ZrAl from the Alexandria database. Energies are from PBE-GGA.

abc: 4.918 4.367 4.367
angles: 90.00 90.00 90.00
Element x y z (fractional)
Zr (0.500, 0.000, 0.000)
Ce (0.000, 0.500, 0.000)
Ce (0.000, 0.000, 0.500)
Al (0.500, 0.500, 0.500)

SG ... P4/mmm
Total moment ... 0.0 Bohr magnetons per cell

=====

Which of them is the most stable? Correct choice: entry ii.